1.
DFT (GGA-PBE) results for RbTlB after structural relaxation.

abc: 5.8212 12.3533 5.3160
angles: 90.00 90.00 90.00
Space group Cmmm (No. 65)
Inequivalent atoms, fractional coordinates:
Rb  0.0000  0.1490  0.0000 (multiplicity 4)
Tl  0.0000  0.3725  0.5000 (multiplicity 4)
B  0.0000  0.5000  0.1468 (multiplicity 4)

Output
calculated formation energy = 0.413 eV per atom
offset from the most stable computed form = 0.210 eV/atom

---

2.
DFT (GGA-PBE) results for RbTlB after structural relaxation.

abc: 14.0762 3.2593 7.9654
angles: 90.00 94.19 90.00
Space group C2/m (No. 12)
Inequivalent atoms, fractional coordinates:
Rb  0.1311  0.0000  0.1688 (multiplicity 4)
Tl  0.0992  0.0000  0.6587 (multiplicity 4)
B  0.2452  0.5000  0.4976 (multiplicity 4)

Output
calculated formation energy = 0.267 eV per atom
offset from the most stable computed form = 0.065 eV/atom

---

3.
DFT (GGA-PBE) results for RbTl2B4 after structural relaxation.

abc: 4.9971 4.9971 13.7577
angles: 90.00 90.00 90.00
Space group I4/mmm (No. 139)
Inequivalent atoms, fractional coordinates:
Rb  0.0000  0.0000  0.0000 (multiplicity 2)
Tl  0.0000  0.0000  0.3886 (multiplicity 4)
B  0.0000  0.0000  0.2205 (multiplicity 4)
B  0.0000  0.5000  0.0000 (multiplicity 4)

Output
calculated formation energy = 2.553 eV per atom

---

How do the records compare in raw total energy? In the order shown, they have -2.92, -3.07, -2.08 eV/atom.